## P
FePCl2F PBE with a Hubbard U optimized geometry; space group = P4/mmm; DOS at the Fermi energy = 3.4 states/eV per cell; total moment = 4.862 Bohr magnetons per cell
1.0
5.3354 0.0000 0.0000
0.0000 5.3354 0.0000
0.0000 0.0000 3.6326
Cl P Fe F
2 1 1 1
direct
0.0000 0.5000 0.0000 Cl
0.5000 0.0000 0.0000 Cl
0.0000 0.0000 0.5000 P
0.5000 0.5000 0.5000 Fe
0.0000 0.0000 0.0000 F

***

## Q
FePCl2F PBE with a Hubbard U optimized geometry; space group = P4/mmm; DOS at the Fermi energy = 2.6 states/eV per cell; total moment = 3.261 Bohr magnetons per cell
1.0
-1.9076 0.6847 4.1632
-2.0582 -4.1394 -0.2623
3.9887 -2.1211 2.1765
F Cl Fe P
1 2 1 1
direct
0.5000 0.5000 0.5000 F
0.5000 0.0000 0.0000 Cl
0.0000 0.5000 0.0000 Cl
0.0000 0.0000 0.0000 Fe
0.0000 0.0000 0.5000 P

***

Tell me which of them is the least stable. Sure, it is P.

***

## P
FeP2ClF PBE with a Hubbard U optimized geometry; space group = P4/mmm; DOS at the Fermi energy = 5.0 states/eV per cell; total moment = 4.113 Bohr magnetons per cell
1.0
-0.3934 4.0049 0.5311
-4.0392 -0.3799 -0.1273
-0.1008 -0.7185 5.3432
P Cl F Fe
2 1 1 1
direct
0.5000 0.0000 0.0000 P
0.0000 0.5000 0.0000 P
0.0000 0.0000 0.5000 Cl
0.0000 0.0000 0.0000 F
0.5000 0.5000 0.5000 Fe

***

## Q
FeP2ClF PBE with a Hubbard U optimized geometry; space group = P4/mmm; DOS at the Fermi energy = 3.1 states/eV per cell; total moment = 2.319 Bohr magnetons per cell
1.0
-2.7420 0.8247 3.5161
-0.8750 -4.4349 0.3578
3.6173 -0.4771 2.9328
P Fe F Cl
2 1 1 1
direct
0.5000 0.0000 0.0000 P
0.0000 0.5000 0.0000 P
0.0000 0.0000 0.0000 Fe
0.5000 0.5000 0.5000 F
0.0000 0.0000 0.5000 Cl

***

Tell me which of them is the least stable. Sure, it is P.

***

## P
FeS2ClF PBE with a Hubbard U optimized geometry; space group = P4/mmm; DOS at the Fermi energy = 3.9 states/eV per cell; total moment = 2.511 Bohr magnetons per cell
1.0
4.6542 0.0000 0.0000
0.0000 4.6542 0.0000
0.0000 0.0000 4.7284
Fe S F Cl
1 2 1 1
direct
0.0000 0.0000 0.0000 Fe
0.0000 0.5000 0.0000 S
0.5000 0.0000 0.0000 S
0.5000 0.5000 0.5000 F
0.0000 0.0000 0.5000 Cl

***

## Q
FeS2ClF PBE with a Hubbard U optimized geometry; space group = P4/mmm; DOS at the Fermi energy = 2.7 states/eV per cell; total moment = 3.960 Bohr magnetons per cell
1.0
-2.6048 -2.0044 2.4636
3.0699 -2.4056 1.2886
1.1015 3.5970 4.0911
S Cl Fe F
2 1 1 1
direct
0.5000 0.0000 0.0000 S
0.0000 0.5000 0.0000 S
0.0000 0.0000 0.5000 Cl
0.5000 0.5000 0.5000 Fe
0.0000 0.0000 0.0000 F

***

Tell me which of them is the least stable. Sure, it is Q.

***

## P
FeSCl2F PBE with a Hubbard U optimized geometry; space group = P4/mmm; DOS at the Fermi energy = 5.2 states/eV per cell; total moment = 4.138 Bohr magnetons per cell
1.0
5.3226 0.0000 0.0000
0.0000 5.3226 0.0000
0.0000 0.0000 3.6244
S Cl F Fe
1 2 1 1
direct
0.0000 0.0000 0.5000 S
0.0000 0.5000 0.0000 Cl
0.5000 0.0000 0.0000 Cl
0.0000 0.0000 0.0000 F
0.5000 0.5000 0.5000 Fe

***

## Q
FeSCl2F PBE with a Hubbard U optimized geometry; space group = P4/mmm; DOS at the Fermi energy = 2.2 states/eV per cell; total moment = 3.000 Bohr magnetons per cell
1.0
-2.1227 3.9637 -0.5529
-3.9991 -2.1248 0.1210
-0.1669 0.5922 4.8857
Cl Fe S F
2 1 1 1
direct
0.0000 0.5000 0.0000 Cl
0.5000 0.0000 0.0000 Cl
0.0000 0.0000 0.0000 Fe
0.0000 0.0000 0.5000 S
0.5000 0.5000 0.5000 F

***

Tell me which of them is the least stable. Sure, it is P.

***

## P
TlFeClF2 PBE with a Hubbard U optimized geometry; space group = P4/mmm; DOS at the Fermi energy = 3.9 states/eV per cell; total moment = 4.000 Bohr magnetons per cell
1.0
-1.2299 4.0840 -0.4634
-0.7541 -0.6997 -4.1651
-4.7238 -1.3007 1.0738
Tl F Fe Cl
1 2 1 1
direct
0.5000 0.5000 0.5000 Tl
0.5000 0.0000 0.0000 F
0.0000 0.5000 0.0000 F
0.0000 0.0000 0.0000 Fe
0.0000 0.0000 0.5000 Cl

***

## Q
TlFeClF2 PBE with a Hubbard U optimized geometry; space group = P4/mmm; DOS at the Fermi energy = 1.9 states/eV per cell; total moment = 4.568 Bohr magnetons per cell
1.0
-3.2175 1.6727 2.5372
-1.9433 -5.7591 1.3325
2.7064 -0.1034 3.5003
F Fe Tl Cl
2 1 1 1
direct
0.0000 0.0000 0.5000 F
0.5000 0.0000 0.0000 F
0.0000 0.5000 0.0000 Fe
0.0000 0.0000 0.0000 Tl
0.5000 0.5000 0.5000 Cl

***

Tell me which of them is the least stable. Sure, it is Q.